1.
Crystalline Ce3TeSe2 at its relaxed geometry. Source: the Alexandria database, functional GGA-PBE.

Calculated values
Crystal system: monoclinic
Total energy in eV/cell: -151.057
Formation energy (no corrections) in eV/f.u.: -9.85
Offset from the most stable computed form in meV/atom: 0

Unit cell a=7.4447 b=12.9155 c=7.4286 alpha=90.00 beta=109.51 gamma=90.00
With the nearest neighbours (Å) after each atom.
Space group C2/c (No. 15)
Asymmetric unit:
Ce: 0.2286 0.0901 0.4946 [8 per cell]  4 Se 2.94-3.03, 2 Te 3.12-3.14
Ce: 0.2500 0.2500 0.0000 [4 per cell]  4 Se 3.03-3.04, 2 Te 3.10
Te: 0.0000 0.4234 0.7500 [4 per cell]  6 Ce 3.10-3.14
Se: 0.0000 0.0842 0.7500 [4 per cell]  6 Ce 2.94-3.03
Se: 0.0000 0.2569 0.2500 [4 per cell]  6 Ce 2.96-3.04


2.
Crystalline AlZn3Ag6 at its relaxed geometry. Source: the Alexandria database, functional GGA-PBE.

Calculated values
Crystal system: monoclinic
Total energy in eV/cell: -49.996
Formation energy from the elements in eV per atom: -0.033
Offset from the most stable computed form in meV/atom: 0

Unit cell a=7.5762 b=4.6351 c=10.1328 alpha=90.00 beta=111.03 gamma=90.00
With the nearest neighbours (Å) after each atom.
Space group P2_1/m (No. 11)
Asymmetric unit:
Al: 0.1158 0.2500 0.0786 [2 per cell]  8 Ag 2.74-2.79, 2 Al 3.00, 2 Zn 3.03-3.05
Zn: 0.1066 0.7500 0.7254 [2 per cell]  8 Ag 2.76-2.88, 3 Zn 2.84-2.88, 1 Al 3.03
Zn: 0.3007 0.7500 0.5316 [2 per cell]  11 Ag 2.83-3.06, 1 Zn 2.84
Zn: 0.3160 0.2500 0.8660 [2 per cell]  9 Ag 2.77-2.89, 2 Zn 2.88, 1 Al 3.05
Ag: 0.0737 0.7500 0.2139 [2 per cell]  4 Zn 2.77-3.06, 3 Al 2.77-2.79, 5 Ag 2.87-2.97
Ag: 0.0990 0.2500 0.5756 [2 per cell]  7 Zn 2.76-2.90, 5 Ag 2.87-2.92
Ag: 0.2773 0.7500 0.0205 [2 per cell]  3 Al 2.78, 4 Zn 2.80-2.88, 5 Ag 2.90-3.02
Ag: 0.2852 0.2500 0.3681 [2 per cell]  1 Al 2.75, 4 Zn 2.77-2.93, 7 Ag 2.87-3.06
Ag: 0.4935 0.7500 0.3350 [2 per cell]  4 Zn 2.85-2.89, 8 Ag 2.87-3.02
Ag: 0.4979 0.7500 0.8355 [2 per cell]  1 Al 2.74, 5 Zn 2.77-2.90, 6 Ag 2.91-3.06


3.
Crystalline ZnAg4Rh2 at its relaxed geometry. Source: the Alexandria database, functional GGA-PBE.

Calculated values
Crystal system: tetragonal
Total energy in eV/cell: -43.396
Formation energy from the elements in eV per atom: 0.812

Unit cell a=4.7690 b=4.7690 c=13.0573 alpha=90.00 beta=90.00 gamma=90.00
With the nearest neighbours (Å) after each atom.
Space group I4/mmm (No. 139)
Asymmetric unit:
Zn: 0.0000 0.0000 0.0000 [2 per cell]  6 Ag 2.38-2.52
Ag: 0.0000 0.0000 0.1932 [4 per cell]  1 Zn 2.52, 1 Rh 2.66
Ag: 0.0000 0.5000 0.0000 [4 per cell]  2 Zn 2.38
Rh: 0.0000 0.0000 0.3970 [4 per cell]  5 Ag 2.66-2.74, 1 Rh 2.69


4.
Crystalline Li5F4 at its relaxed geometry. Source: the Alexandria database, functional GGA-PBE.

Calculated values
Crystal system: tetragonal
Total energy in eV/cell: -79.195
Formation energy (no corrections) in eV/f.u.: -22.54

Unit cell a=6.6339 b=6.6339 c=3.9391 alpha=90.00 beta=90.00 gamma=90.00
With the nearest neighbours (Å) after each atom.
Space group I4/m (No. 87)
Asymmetric unit:
Li: 0.0000 0.0000 0.0000 [2 per cell]  4 F 2.09
Li: 0.1095 0.3092 0.5000 [8 per cell]  5 F 1.97-2.14
F: 0.0984 0.2998 0.0000 [8 per cell]  6 Li 1.97-2.14


The following N(E_F) values (in states/eV/cell) correspond, in order, to the records above: 78.973 4.710 13.670 0.101.